First-principles (PBE) data for a geometry-optimized AlSnIr2 structure, as listed in Alexandria.

Its energy is -27.13 eV for the cell shown. The calculation puts the calculated formation energy at -40 kJ per mole of atoms.

It has space group P4/mmm (No. 123), with a = 3.004 Å, b = 3.004 Å, c = 6.973 Å, α = 90.00°, β = 90.00° and γ = 90.00°. Symmetry generates all atoms from Al at (0.000, 0.000, 0.000), Sn at (0.000, 0.000, 0.500) and Ir at (0.500, 0.500, 0.222).

---

First-principles (PBE) data for a geometry-optimized PPtSeBr2 structure, as listed in Alexandria.

The value obtained for the formation energy (no corrections) is 695 meV/atom. Its energy is -14.81 eV for the cell shown.

It has space group P4/mmm (No. 123), with a = 5.136 Å, b = 5.136 Å, c = 4.985 Å, α = 90.00°, β = 90.00° and γ = 90.00°. Symmetry generates all atoms from P at (0.000, 0.000, 0.000), Pt at (0.500, 0.500, 0.500), Se at (0.500, 0.500, 0.000) and Br at (0.000, 0.500, 0.500).

---

First-principles (PBE) data for a geometry-optimized LiAu2Cl structure, as listed in Alexandria.

The value obtained for the formation energy (no corrections) is -120 meV/atom. Its energy is -32.39 eV for the cell shown.

It has space group R-3m (No. 166, hexagonal axes), with a = 2.9358 Å, b = 2.9358 Å, c = 28.6241 Å, α = 90.00°, β = 90.00° and γ = 120.00°. Symmetry generates all atoms from Li at (0.0000, 0.0000, 0.0000), Au at (0.0000, 0.0000, 0.2602) and Cl at (0.0000, 0.0000, 0.5000).